USn2P2Pd7 | PBE | optimized geometry

Cell: 4.0246 4.0246 14.2298 Å, 93.56 93.56 90.29°
With the nearest neighbours (Å) after each atom.
Atoms (fractional coordinates):
U (0.0000, 0.0000, 0.0000)  12 Pd 2.84-2.97
Sn (0.1288, 0.1288, 0.4081)  5 Pd 2.72-2.96
Sn (0.8712, 0.8712, 0.5919)  5 Pd 2.72-2.96
P (0.4421, 0.4421, 0.7538)  5 Pd 2.33-2.41
P (0.5579, 0.5579, 0.2462)  5 Pd 2.33-2.41
Pd (0.0367, 0.5352, 0.1534)  2 P 2.40-2.41
Pd (0.3915, 0.3915, 0.5893)  1 P 2.33
Pd (0.4648, 0.9633, 0.8466)  2 P 2.40-2.41
Pd (0.5000, 0.5000, 0.0000)  4 U 2.84-2.85, 8 Pd 2.96-2.97
Pd (0.5352, 0.0367, 0.1534)  2 P 2.40-2.41
Pd (0.6085, 0.6085, 0.4107)  1 P 2.33
Pd (0.9633, 0.4648, 0.8466)  2 P 2.40-2.41

Summary:
Formation energy   -0.3593 eV/atom
SG   C2/m (12)
M_tot   2.043 Bohr magnetons per cell
D(E_F)   0.910 states/eV/atom